PmPr2PaN4: relaxed, PBE.

Results
DOS(E_F) ... 3.5 states/eV/f.u.
Magnetization ... 0.0 μB per cell
Symmetry ... P2/m, No. 10
Raw total energy ... -69.054 eV/cell
Raw formation energy ... -1.493 eV/atom

Geometry as POSCAR:
```
PmPr2PaN4
1.0
6.232 0.000 0.000
0.000 3.618 0.000
-2.056 0.000 5.933
Pm Pr Pa N
1 2 1 4
Cartesian
0.000 0.000 0.000
-1.028 1.809 2.967
2.088 0.000 2.967
3.116 1.809 0.000
1.192 1.809 1.338
0.120 0.000 4.639
4.057 0.000 1.294
2.985 1.809 4.595
```

***

Pm3PuPa2N6: relaxed, PBE.

Results
DOS(E_F) ... 10.4 states/eV/f.u.
Magnetization ... 5.0 μB per cell
Symmetry ... C2/m, No. 12
Raw total energy ... -115.874 eV/cell
Raw formation energy ... -1.529 eV/atom

Geometry as POSCAR:
```
Pm3PuPa2N6
1.0
7.754 -1.777 0.000
7.754 1.777 0.000
-1.645 0.000 6.897
Pm Pu Pa N
3 1 2 6
Cartesian
0.000 0.000 0.000
4.094 0.000 4.586
9.768 0.000 2.311
-0.822 0.000 3.448
4.909 0.000 1.177
8.954 0.000 5.720
1.549 0.000 4.171
2.578 0.000 0.437
7.194 0.000 1.783
6.669 0.000 5.114
11.285 0.000 6.460
12.314 0.000 2.726
```